# LaSiOs2, optimized geometry, DFT PBEsol
# total magnetization	0.00	μB/cell
# calculated volume	16.9	A^3/atom
# uncorrected formation energy	430	meV/atom
data_LaSiOs2
_chemical_formula_sum 'La2 Si2 Os4'
_cell_length_a 5.946
_cell_length_b 8.914
_cell_length_c 2.903
_cell_angle_alpha 90.00
_cell_angle_beta 118.52
_cell_angle_gamma 90.00
_space_group_name_H-M_alt 'C 1 2/m 1'
_space_group_IT_number 12
loop_
_space_group_symop_operation_xyz
'x,y,z'
'-x,-y,-z'
'-x,y,-z'
'x,-y,z'
'x+1/2,y+1/2,z'
'-x+1/2,-y+1/2,-z'
'-x+1/2,y+1/2,-z'
'x+1/2,-y+1/2,z'
loop_
_atom_site_label
_atom_site_type_symbol
_atom_site_fract_x
_atom_site_fract_y
_atom_site_fract_z
La1 La 0.000 0.000 0.000
Si1 Si 0.000 0.500 0.000
Os1 Os 0.250 0.250 0.500

=====

# Ca3BC, optimized geometry, DFT PBEsol
# total magnetization	2.36	μB/cell
# calculated volume	22.7	A^3/atom
# E_tot	-19.44	eV/cell
data_Ca3BC
_chemical_formula_sum 'Ca3 B1 C1'
_cell_length_a 4.845
_cell_length_b 4.845
_cell_length_c 4.845
_cell_angle_alpha 90.00
_cell_angle_beta 90.00
_cell_angle_gamma 90.00
_space_group_name_H-M_alt 'P m -3 m'
_space_group_IT_number 221
_space_group_name_Hall '-P 4 2 3'
loop_
_atom_site_label
_atom_site_type_symbol
_atom_site_fract_x
_atom_site_fract_y
_atom_site_fract_z
Ca1 Ca 0.000 0.000 0.500
B1 B 0.500 0.500 0.500
C1 C 0.000 0.000 0.000

=====

# YMn2PH, optimized geometry, DFT PBEsol
# total magnetization	6.57	μB/cell
# calculated volume	17.4	A^3/atom
# E_tot	-29.24	eV/cell
data_YMn2PH
_chemical_formula_sum 'Y1 Mn2 P1 H1'
_cell_length_a 4.874
_cell_length_b 4.874
_cell_length_c 3.652
_cell_angle_alpha 90.00
_cell_angle_beta 90.00
_cell_angle_gamma 90.00
_space_group_name_H-M_alt 'P 4/m m m'
_space_group_IT_number 123
_space_group_name_Hall '-P 4 2'
loop_
_atom_site_label
_atom_site_type_symbol
_atom_site_fract_x
_atom_site_fract_y
_atom_site_fract_z
Y1 Y 0.000 0.000 0.000
Mn1 Mn 0.000 0.500 0.000
P1 P 0.500 0.500 0.500
H1 H 0.000 0.000 0.500

=====

# ZrTcPS2, optimized geometry, DFT PBEsol
# total magnetization	4.25	μB/cell
# calculated volume	23.4	A^3/atom
# uncorrected formation energy	560	meV/atom
data_ZrTcPS2
_chemical_formula_sum 'Zr1 Tc1 P1 S2'
_cell_length_a 4.825
_cell_length_b 4.825
_cell_length_c 5.022
_cell_angle_alpha 90.00
_cell_angle_beta 90.00
_cell_angle_gamma 90.00
_space_group_name_H-M_alt 'P 4/m m m'
_space_group_IT_number 123
_space_group_name_Hall '-P 4 2'
loop_
_atom_site_label
_atom_site_type_symbol
_atom_site_fract_x
_atom_site_fract_y
_atom_site_fract_z
Zr1 Zr 0.000 0.000 0.000
Tc1 Tc 0.500 0.500 0.500
P1 P 0.000 0.000 0.500
S1 S 0.000 0.500 0.000

=====

# Re2Ir, optimized geometry, DFT PBEsol
# total magnetization	0.00	μB/cell
# calculated volume	14.3	A^3/atom
# offset from the most stable computed form	0.007	eV/atom
data_Re2Ir
_chemical_formula_sum 'Re8 Ir4'
_cell_length_a 9.958
_cell_length_b 2.738
_cell_length_c 6.479
_cell_angle_alpha 90.00
_cell_angle_beta 103.81
_cell_angle_gamma 90.00
_space_group_name_H-M_alt 'C 1 m 1'
_space_group_IT_number 8
loop_
_space_group_symop_operation_xyz
'x,y,z'
'x,-y,z'
'x+1/2,y+1/2,z'
'x+1/2,-y+1/2,z'
loop_
_atom_site_label
_atom_site_type_symbol
_atom_site_fract_x
_atom_site_fract_y
_atom_site_fract_z
Re1 Re 0.000 0.000 0.000
Re2 Re 0.058 0.000 0.613
Re3 Re 0.224 0.500 0.947
Re4 Re 0.388 0.000 0.281
Ir1 Ir 0.166 0.500 0.332
Ir2 Ir 0.335 0.000 0.673

=====

# ZnCuRh2, optimized geometry, DFT PBEsol
# total magnetization	0.00	μB/cell
# calculated volume	12.8	A^3/atom
# E_tot	-22.57	eV/cell
data_ZnCuRh2
_chemical_formula_sum 'Zn1 Cu1 Rh2'
_cell_length_a 4.149
_cell_length_b 4.149
_cell_length_c 2.982
_cell_angle_alpha 90.00
_cell_angle_beta 90.00
_cell_angle_gamma 90.00
_space_group_name_H-M_alt 'P 4/m m m'
_space_group_IT_number 123
_space_group_name_Hall '-P 4 2'
loop_
_atom_site_label
_atom_site_type_symbol
_atom_site_fract_x
_atom_site_fract_y
_atom_site_fract_z
Zn1 Zn 0.000 0.000 0.000
Cu1 Cu 0.500 0.500 0.000
Rh1 Rh 0.000 0.500 0.500

=====

# LiFe2Hg, optimized geometry, DFT PBEsol
# total magnetization	4.89	μB/cell
# calculated volume	13.9	A^3/atom
# E_tot	-19.72	eV/cell
data_LiFe2Hg
_chemical_formula_sum 'Li1 Fe2 Hg1'
_cell_length_a 3.003
_cell_length_b 3.003
_cell_length_c 6.187
_cell_angle_alpha 90.00
_cell_angle_beta 90.00
_cell_angle_gamma 90.00
_space_group_name_H-M_alt 'P 4 m m'
_space_group_IT_number 99
loop_
_space_group_symop_operation_xyz
'x,y,z'
'-y,x,z'
'-x,-y,z'
'y,-x,z'
'-x,y,z'
'y,x,z'
'x,-y,z'
'-y,-x,z'
loop_
_atom_site_label
_atom_site_type_symbol
_atom_site_fract_x
_atom_site_fract_y
_atom_site_fract_z
Li1 Li 0.000 0.000 0.000
Fe1 Fe 0.000 0.000 0.429
Fe2 Fe 0.500 0.500 0.258
Hg1 Hg 0.500 0.500 0.730

=====

# Hf2TiNi2, optimized geometry, DFT PBEsol
# total magnetization	0.00	μB/cell
# calculated volume	15.9	A^3/atom
# E_tot	-86.79	eV/cell
data_Hf2TiNi2
_chemical_formula_sum 'Hf4 Ti2 Ni4'
_cell_length_a 7.074
_cell_length_b 7.074
_cell_length_c 3.175
_cell_angle_alpha 90.00
_cell_angle_beta 90.00
_cell_angle_gamma 90.00
_space_group_name_H-M_alt 'P 4/m b m'
_space_group_IT_number 127
_space_group_name_Hall '-P 4 2ab'
loop_
_atom_site_label
_atom_site_type_symbol
_atom_site_fract_x
_atom_site_fract_y
_atom_site_fract_z
Hf1 Hf 0.170 0.330 0.000
Ti1 Ti 0.000 0.000 0.500
Ni1 Ni 0.126 0.626 0.500

=====

# Cd2HgI2, optimized geometry, DFT PBEsol
# total magnetization	0.00	μB/cell
# calculated volume	32.3	A^3/atom
# uncorrected formation energy	-181	meV/atom
# offset from the most stable computed form	0.000	eV/atom
data_Cd2HgI2
_chemical_formula_sum 'Cd4 Hg2 I4'
_cell_length_a 8.584
_cell_length_b 8.584
_cell_length_c 4.385
_cell_angle_alpha 90.00
_cell_angle_beta 90.00
_cell_angle_gamma 90.00
_space_group_name_H-M_alt 'P 4/m b m'
_space_group_IT_number 127
_space_group_name_Hall '-P 4 2ab'
loop_
_atom_site_label
_atom_site_type_symbol
_atom_site_fract_x
_atom_site_fract_y
_atom_site_fract_z
Cd1 Cd 0.110 0.390 0.000
Hg1 Hg 0.000 0.000 0.000
I1 I 0.236 0.736 0.500

=====

# MoIrPb2, optimized geometry, DFT PBEsol
# total magnetization	0.00	μB/cell
# calculated volume	18.7	A^3/atom
# offset from the most stable computed form	0.264	eV/atom
data_MoIrPb2
_chemical_formula_sum 'Mo1 Ir1 Pb2'
_cell_length_a 3.213
_cell_length_b 3.546
_cell_length_c 6.559
_cell_angle_alpha 90.00
_cell_angle_beta 90.00
_cell_angle_gamma 90.00
_space_group_name_H-M_alt 'P m m m'
_space_group_IT_number 47
loop_
_space_group_symop_operation_xyz
'x,y,z'
'-x,-y,-z'
'-x,-y,z'
'x,y,-z'
'x,-y,-z'
'-x,y,z'
'-x,y,-z'
'x,-y,z'
loop_
_atom_site_label
_atom_site_type_symbol
_atom_site_fract_x
_atom_site_fract_y
_atom_site_fract_z
Mo1 Mo 0.000 0.000 0.000
Ir1 Ir 0.000 0.000 0.500
Pb1 Pb 0.500 0.500 0.251

=====

# BaTePt2, optimized geometry, DFT PBEsol
# total magnetization	0.00	μB/cell
# calculated volume	25.6	A^3/atom
# uncorrected formation energy	-398	meV/atom
data_BaTePt2
_chemical_formula_sum 'Ba2 Te2 Pt4'
_cell_length_a 3.838
_cell_length_b 5.691
_cell_length_c 9.379
_cell_angle_alpha 90.00
_cell_angle_beta 90.00
_cell_angle_gamma 90.00
_space_group_name_H-M_alt 'I m m 2'
_space_group_IT_number 44
loop_
_space_group_symop_operation_xyz
'x,y,z'
'-x,-y,z'
'-x,y,z'
'x,-y,z'
'x+1/2,y+1/2,z+1/2'
'-x+1/2,-y+1/2,z+1/2'
'-x+1/2,y+1/2,z+1/2'
'x+1/2,-y+1/2,z+1/2'
loop_
_atom_site_label
_atom_site_type_symbol
_atom_site_fract_x
_atom_site_fract_y
_atom_site_fract_z
Ba1 Ba 0.000 0.000 0.000
Te1 Te 0.000 0.500 0.803
Pt1 Pt 0.000 0.000 0.491
Pt2 Pt 0.000 0.500 0.173

=====

# LaYNi4, optimized geometry, DFT PBEsol
# total magnetization	0.00	μB/cell
# calculated volume	15.2	A^3/atom
# E_tot	-156.13	eV/cell
data_LaYNi4
_chemical_formula_sum 'La4 Y4 Ni16'
_cell_length_a 7.146
_cell_length_b 7.146
_cell_length_c 7.146
_cell_angle_alpha 90.00
_cell_angle_beta 90.00
_cell_angle_gamma 90.00
_space_group_name_H-M_alt 'F -4 3 m'
_space_group_IT_number 216
_space_group_name_Hall 'F -4 2 3'
loop_
_atom_site_label
_atom_site_type_symbol
_atom_site_fract_x
_atom_site_fract_y
_atom_site_fract_z
La1 La 0.000 0.000 0.000
Y1 Y 0.250 0.250 0.750
Ni1 Ni 0.124 0.124 0.376

=====

> total magnetization of number 7 (LiFe2Hg)?

4.89 μB/cell

=====

> What is the total magnetization in the seventh record?

4.89 μB/cell

=====

> Number 4 is which compound?

ZrTcPS2